No. 1
Compound: LiCd2Au2
Source: Alexandria via LeMat-Bulk
Functional: PBE
Structure: optimized geometry

- excess energy over the best structure of this formula in the dataset (meV per atom) = 126
- formation enthalpy at 0 K (eV per atom) = -0.174
- density (g/cm3) = 9.23
- E_tot (eV per atom) = -2.234

Cell and atoms, written as POSCAR:
```
LiCd2Au2
1.0
-2.309 -0.958 -3.288
0.467 -4.017 0.842
-6.341 -2.330 2.538
Cd Au Li
2 2 1
Cartesian
-4.786 -2.888 -0.987
-3.397 -4.417 1.078
-2.007 -2.456 -0.470
-6.177 -4.849 0.561
0.000 0.000 0.000
```

---

No. 2
Compound: FeCuOs2
Source: Alexandria via LeMat-Bulk
Functional: PBE
Structure: optimized geometry

- excess energy over the best structure of this formula in the dataset (meV per atom) = 50
- formation enthalpy at 0 K (eV per atom) = 0.253
- density (g/cm3) = 15.64
- E_tot (eV per atom) = -8.502

Cell and atoms, written as POSCAR:
```
FeCuOs2
1.0
-1.358 2.455 3.693
-3.561 1.927 2.262
-1.013 -3.398 2.813
Fe Os Cu
1 2 1
Cartesian
-1.503 0.215 2.234
-4.450 0.660 6.608
-1.003 -3.345 2.778
-2.954 0.546 4.347
```

---

No. 3
Compound: Rb3ReTc
Source: Alexandria via LeMat-Bulk
Functional: PBE
Structure: optimized geometry

- excess energy over the best structure of this formula in the dataset (meV per atom) = 0
- formation enthalpy at 0 K (eV per atom) = 2.358
- density (g/cm3) = 3.21
- E_tot (eV per atom) = -2.785

Cell and atoms, written as POSCAR:
```
Rb3ReTc
1.0
-4.856 -3.767 -2.233
2.183 -4.973 3.642
-3.796 1.959 4.951
Rb Re Tc
3 1 1
Cartesian
1.092 -2.487 1.821
-2.428 -1.884 -1.117
-1.898 0.979 2.475
0.000 0.000 0.000
-3.235 -3.391 3.180
```